Record 1
This record from OQMD describes crystalline NaCoSb at its relaxed geometry. The functional is PBE-GGA.

## Properties
The value obtained for the uncorrected energy is -3.2994 eV per atom. For the calculated volume, the calculation gives 67.4 Å³/f.u.

CIF file:
```
data_NaCoSb
_chemical_formula_sum 'Na4 Co4 Sb4'
_cell_length_a 6.459
_cell_length_b 6.459
_cell_length_c 6.459
_cell_angle_alpha 90.00
_cell_angle_beta 90.00
_cell_angle_gamma 90.00
_symmetry_space_group_name_H-M 'F -4 3 m'
_symmetry_Int_Tables_number 216
_symmetry_space_group_name_Hall 'F -4 2 3'
loop_
_atom_site_label
_atom_site_fract_x
_atom_site_fract_y
_atom_site_fract_z
Na1 0.000 0.000 0.000
Co1 0.250 0.250 0.750
Sb1 0.250 0.250 0.250
```

***

Record 2
This record from OQMD describes crystalline GdUTc2 at its relaxed geometry. The functional is PBE-GGA.

## Properties
The value obtained for the uncorrected energy is -9.2902 eV per atom. For the calculated volume, the calculation gives 80.3 Å³/f.u. For the energy relative to the elements, the calculation gives -0.5 eV/f.u.

CIF file:
```
data_GdUTc2
_chemical_formula_sum 'Gd1 U1 Tc2'
_cell_length_a 3.369
_cell_length_b 3.369
_cell_length_c 7.076
_cell_angle_alpha 90.00
_cell_angle_beta 90.00
_cell_angle_gamma 90.00
_symmetry_space_group_name_H-M 'P 4/m m m'
_symmetry_Int_Tables_number 123
_symmetry_space_group_name_Hall '-P 4 2'
loop_
_atom_site_label
_atom_site_fract_x
_atom_site_fract_y
_atom_site_fract_z
Gd1 0.000 0.000 0.000
U1 0.000 0.000 0.500
Tc1 0.500 0.500 0.296
```

***

Record 3
This record from OQMD describes crystalline Sc2Ga2HgAu at its relaxed geometry. The functional is PBE-GGA.

## Properties
The value obtained for the uncorrected energy is -4.2931 eV per atom. For the calculated volume, the calculation gives 117.6 Å³/f.u.

CIF file:
```
data_Sc2Ga2HgAu
_chemical_formula_sum 'Sc2 Ga2 Hg1 Au1'
_cell_length_a 4.4672
_cell_length_b 4.4672
_cell_length_c 6.8052
_cell_angle_alpha 90.00
_cell_angle_beta 90.00
_cell_angle_gamma 120.00
_symmetry_space_group_name_H-M 'P 3 m 1'
_symmetry_Int_Tables_number 156
loop_
_symmetry_equiv_pos_as_xyz
'x,y,z'
'-y,x-y,z'
'-x+y,-x,z'
'-y,-x,z'
'-x+y,y,z'
'x,x-y,z'
loop_
_atom_site_label
_atom_site_fract_x
_atom_site_fract_y
_atom_site_fract_z
Sc1 0.0000 0.0000 0.0000
Sc2 0.0000 0.0000 0.4757
Ga1 0.6667 0.3333 0.2702
Ga2 0.6667 0.3333 0.6777
Hg1 0.3333 0.6667 0.7691
Au1 0.3333 0.6667 0.2116
```

***

Record 4
This record from OQMD describes crystalline Er2PbSe4 at its relaxed geometry. The functional is PBE-GGA.

## Properties
The value obtained for the uncorrected energy is -5.3056 eV per atom. For the calculated volume, the calculation gives 191.7 Å³/f.u.

CIF file:
```
data_Er2PbSe4
_chemical_formula_sum 'Er8 Pb4 Se16'
_cell_length_a 12.542
_cell_length_b 4.103
_cell_length_c 14.899
_cell_angle_alpha 90.00
_cell_angle_beta 90.00
_cell_angle_gamma 90.00
_symmetry_space_group_name_H-M 'P n m a'
_symmetry_Int_Tables_number 62
loop_
_symmetry_equiv_pos_as_xyz
'x,y,z'
'-x,-y,-z'
'-x+1/2,-y,z+1/2'
'x+1/2,y,-z+1/2'
'x+1/2,-y+1/2,-z+1/2'
'-x+1/2,y+1/2,z+1/2'
'-x,y+1/2,-z'
'x,-y+1/2,z'
loop_
_atom_site_label
_atom_site_fract_x
_atom_site_fract_y
_atom_site_fract_z
Er1 0.062 0.250 0.110
Er2 0.081 0.250 0.597
Pb1 0.237 0.250 0.331
Se1 0.024 0.750 0.714
Se2 0.089 0.250 0.923
Se3 0.131 0.750 0.470
Se4 0.208 0.750 0.170
```

***

Record 5
This record from OQMD describes crystalline YNiBi at its relaxed geometry. The functional is PBE-GGA.

## Properties
The value obtained for the uncorrected energy is -5.3960 eV per atom. For the calculated volume, the calculation gives 71.8 Å³/f.u.

CIF file:
```
data_YNiBi
_chemical_formula_sum 'Y6 Ni6 Bi6'
_cell_length_a 3.545
_cell_length_b 14.555
_cell_length_c 8.350
_cell_angle_alpha 90.00
_cell_angle_beta 90.00
_cell_angle_gamma 90.00
_symmetry_space_group_name_H-M 'A m m 2'
_symmetry_Int_Tables_number 38
loop_
_symmetry_equiv_pos_as_xyz
'x,y,z'
'-x,-y,z'
'-x,y,z'
'x,-y,z'
'x,y+1/2,z+1/2'
'-x,-y+1/2,z+1/2'
'-x,y+1/2,z+1/2'
'x,-y+1/2,z+1/2'
loop_
_atom_site_label
_atom_site_fract_x
_atom_site_fract_y
_atom_site_fract_z
Y1 0.000 0.000 0.000
Y2 0.000 0.148 0.559
Ni1 0.500 0.000 0.372
Ni2 0.500 0.164 0.873
Bi1 0.000 0.167 0.204
Bi2 0.500 0.000 0.705
```

***

Record 6
This record from OQMD describes crystalline Y2FeCoBr2 at its relaxed geometry. The functional is PBE-GGA.

## Properties
The value obtained for the uncorrected energy is -6.2756 eV per atom. For the calculated volume, the calculation gives 148.4 Å³/f.u.

CIF file:
```
data_Y2FeCoBr2
_chemical_formula_sum 'Y2 Fe1 Co1 Br2'
_cell_length_a 3.8652
_cell_length_b 3.8652
_cell_length_c 11.4733
_cell_angle_alpha 90.00
_cell_angle_beta 90.00
_cell_angle_gamma 120.00
_symmetry_space_group_name_H-M 'P 3 m 1'
_symmetry_Int_Tables_number 156
loop_
_symmetry_equiv_pos_as_xyz
'x,y,z'
'-y,x-y,z'
'-x+y,-x,z'
'-y,-x,z'
'-x+y,y,z'
'x,x-y,z'
loop_
_atom_site_label
_atom_site_fract_x
_atom_site_fract_y
_atom_site_fract_z
Y1 0.0000 0.0000 0.0000
Y2 0.0000 0.0000 0.3411
Fe1 0.3333 0.6667 0.1777
Co1 0.6667 0.3333 0.1614
Br1 0.3333 0.6667 0.8315
Br2 0.6667 0.3333 0.5087
```

***

Record 7
This record from OQMD describes crystalline CuNi2B2 at its relaxed geometry. The functional is PBE-GGA.

## Properties
The value obtained for the uncorrected energy is -5.6905 eV per atom. For the calculated volume, the calculation gives 46.7 Å³/f.u.

CIF file:
```
data_CuNi2B2
_chemical_formula_sum 'Cu2 Ni4 B4'
_cell_length_a 3.416
_cell_length_b 3.416
_cell_length_c 7.999
_cell_angle_alpha 90.00
_cell_angle_beta 90.00
_cell_angle_gamma 90.00
_symmetry_space_group_name_H-M 'I 4/m m m'
_symmetry_Int_Tables_number 139
_symmetry_space_group_name_Hall '-I 4 2'
loop_
_atom_site_label
_atom_site_fract_x
_atom_site_fract_y
_atom_site_fract_z
Cu1 0.000 0.000 0.000
Ni1 0.000 0.500 0.250
B1 0.000 0.000 0.394
```

***

Record 8
This record from OQMD describes crystalline KPd3Pb5 at its relaxed geometry. The functional is PBE-GGA.

## Properties
The value obtained for the uncorrected energy is -4.1118 eV per atom. For the calculated volume, the calculation gives 247.5 Å³/f.u.

CIF file:
```
data_KPd3Pb5
_chemical_formula_sum 'K1 Pd3 Pb5'
_cell_length_a 5.8200
_cell_length_b 5.8200
_cell_length_c 8.4376
_cell_angle_alpha 90.00
_cell_angle_beta 90.00
_cell_angle_gamma 120.00
_symmetry_space_group_name_H-M 'P 6/m m m'
_symmetry_Int_Tables_number 191
_symmetry_space_group_name_Hall '-P 6 2'
loop_
_atom_site_label
_atom_site_fract_x
_atom_site_fract_y
_atom_site_fract_z
K1 0.0000 0.0000 0.0000
Pd1 0.0000 0.5000 0.5000
Pb1 0.0000 0.0000 0.5000
Pb2 0.3333 0.6667 0.2174
```